Below is a geometry-optimized LiVSe3 structure, with properties calculated at the GGA-PBE level.

Values from the calculation:
Calculated total energy in eV/atom: -4.955
Energy relative to the elements, uncorrected in eV per atom: -0.658
Mass density in g/cm³: 5.17
Calculated volume in Å³ per atom: 18.94
DOS(E_F) in states/eV/f.u.: 1.191

abc: 6.5396 9.1363 6.3415
angles: 90.00 90.00 90.00
Positions (direct):
1 Li 0.1247 0.2500 0.0430
2 Li 0.3753 0.7500 0.5430
3 Li 0.6247 0.2500 0.4570
4 Li 0.8753 0.7500 0.9570
5 V 0.0000 0.0000 0.5000
6 V 0.0000 0.5000 0.5000
7 V 0.5000 0.0000 0.0000
8 V 0.5000 0.5000 0.0000
9 Se 0.0203 0.7500 0.3507
10 Se 0.1724 0.5694 0.8326
11 Se 0.1724 0.9306 0.8326
12 Se 0.3276 0.0694 0.3326
13 Se 0.3276 0.4306 0.3326
14 Se 0.4797 0.2500 0.8507
15 Se 0.5203 0.7500 0.1493
16 Se 0.6724 0.5694 0.6674
17 Se 0.6724 0.9306 0.6674
18 Se 0.8276 0.0694 0.1674
19 Se 0.8276 0.4306 0.1674
20 Se 0.9797 0.2500 0.6493